<one>
Entry from Alexandria via LeMat-Bulk: an optimized crystal structure of Ac2CePt (PBE).

```
Ac2CePt
1.0
-3.191 0.448 2.075
1.837 -1.296 3.104
2.492 8.379 2.024
Ac Pt Ce
2 1 1
Direct
0.000 0.000 0.200 Ac
0.000 0.000 0.800 Ac
0.500 0.500 0.000 Pt
0.500 0.500 0.500 Ce
```

## Properties
As for the symmetry: P4/mmm.


<two>
Entry from Alexandria via LeMat-Bulk: an optimized crystal structure of Ac2CePt (PBE).

```
Ac2CePt
1.0
4.068 0.000 0.000
2.034 3.523 0.000
2.034 1.174 11.111
Pt Ce Ac
1 1 2
Direct
0.500 0.500 0.500 Pt
0.000 0.000 0.000 Ce
0.889 0.889 0.332 Ac
0.111 0.111 0.668 Ac
```

## Properties
As for the symmetry: R-3m.


Which structure is most stable? <one>, by 193 meV per atom over the runner-up.


<one>
Entry from Alexandria via LeMat-Bulk: an optimized crystal structure of Ac2CePu (PBE).

```
Ac2CePu
1.0
-2.146 -3.806 -2.901
4.696 -1.058 -2.085
0.928 -3.451 3.841
Ac Pu Ce
2 1 1
Direct
0.000 0.500 0.000 Ac
0.000 0.000 0.500 Ac
0.500 0.000 0.000 Pu
0.500 0.500 0.500 Ce
```

## Properties
As for the symmetry: P4/mmm.


<two>
Entry from Alexandria via LeMat-Bulk: an optimized crystal structure of Ac2CePu (PBE).

```
Ac2CePu
1.0
3.688 0.000 0.000
1.844 3.193 0.000
1.844 1.064 12.884
Pu Ac Ce
1 2 1
Direct
0.000 0.000 0.000 Pu
0.089 0.089 0.732 Ac
0.911 0.911 0.268 Ac
0.500 0.500 0.500 Ce
```

## Properties
As for the symmetry: R-3m.


Which structure is most stable? <one>, by 165 meV per atom over the runner-up.


<one>
Entry from Alexandria via LeMat-Bulk: an optimized crystal structure of AcCeRu2 (PBE).

```
AcCeRu2
1.0
-1.066 -0.103 -3.324
3.241 -0.813 -1.014
-1.583 -7.218 0.732
Ru Ce Ac
2 1 1
Direct
0.000 0.000 0.794 Ru
0.000 0.000 0.206 Ru
0.500 0.500 0.000 Ce
0.500 0.500 0.500 Ac
```

## Properties
As for the symmetry: P4/mmm.


<two>
Entry from Alexandria via LeMat-Bulk: an optimized crystal structure of AcCeRu2 (PBE).

```
AcCeRu2
1.0
-3.983 0.477 1.995
-3.729 -1.335 -2.095
-2.026 -5.450 2.289
Ru Ac Ce
2 1 1
Direct
0.295 0.295 0.115 Ru
0.705 0.705 0.885 Ru
0.500 0.500 0.500 Ac
0.000 0.000 0.000 Ce
```

## Properties
As for the symmetry: R-3m.


<three>
Entry from Alexandria via LeMat-Bulk: an optimized crystal structure of AcCeRu2 (PBE).

```
AcCeRu2
1.0
5.763 0.000 -0.007
0.000 7.850 0.000
-0.017 0.000 8.956
Ac Ru Ce
4 8 4
Direct
0.264 0.418 0.138 Ac
0.764 0.082 0.138 Ac
0.736 0.582 0.862 Ac
0.236 0.918 0.862 Ac
0.559 0.224 0.849 Ru
0.923 0.761 0.594 Ru
0.077 0.239 0.406 Ru
0.941 0.724 0.151 Ru
0.577 0.261 0.406 Ru
0.059 0.276 0.849 Ru
0.441 0.776 0.151 Ru
0.423 0.739 0.594 Ru
0.282 0.891 0.380 Ce
0.782 0.609 0.380 Ce
0.218 0.391 0.620 Ce
0.718 0.109 0.620 Ce
```

## Properties
As for the symmetry: P2_1/c.


<four>
Entry from Alexandria via LeMat-Bulk: an optimized crystal structure of AcCeRu2 (PBE).

```
AcCeRu2
1.0
-4.243 -1.483 -3.433
-2.193 -3.187 4.086
-4.240 10.090 5.594
Ru Ac Ce
8 4 4
Direct
0.416 0.669 0.569 Ru
0.538 0.118 0.905 Ru
0.962 0.118 0.595 Ru
0.916 0.331 0.069 Ru
0.084 0.669 0.931 Ru
0.584 0.331 0.431 Ru
0.462 0.882 0.095 Ru
0.038 0.882 0.405 Ru
0.944 0.612 0.643 Ac
0.444 0.388 0.143 Ac
0.556 0.612 0.857 Ac
0.056 0.388 0.357 Ac
0.917 0.910 0.130 Ce
0.583 0.910 0.370 Ce
0.417 0.090 0.630 Ce
0.083 0.090 0.870 Ce
```

## Properties
As for the symmetry: P2/c.


Which structure is most stable? <two>, by 33 meV per atom over the runner-up.


<one>
Entry from Alexandria via LeMat-Bulk: an optimized crystal structure of AcCeS4 (PBE).

```
AcCeS4
1.0
7.098 0.213 0.000
-1.582 7.542 0.000
-2.758 -3.878 5.968
S Ac Ce
8 2 2
Direct
0.627 0.044 0.339 S
0.608 0.340 0.121 S
0.212 0.294 0.339 S
0.013 0.781 0.121 S
0.373 0.956 0.661 S
0.392 0.660 0.879 S
0.788 0.706 0.661 S
0.987 0.219 0.879 S
0.618 0.368 0.735 Ac
0.382 0.632 0.265 Ac
0.771 0.021 0.042 Ce
0.229 0.979 0.958 Ce
```

## Properties
As for the symmetry: C2/c.


<two>
Entry from Alexandria via LeMat-Bulk: an optimized crystal structure of AcCeS4 (PBE).

```
AcCeS4
1.0
4.549 0.000 0.000
0.000 4.549 0.000
0.000 0.000 7.578
S Ce Ac
4 1 1
Direct
0.000 0.500 0.768 S
0.500 0.000 0.768 S
0.500 0.000 0.232 S
0.000 0.500 0.232 S
0.000 0.000 0.000 Ce
0.000 0.000 0.500 Ac
```

## Properties
As for the symmetry: P4/mmm.


Which structure is most stable? <one>, by 95 meV per atom over the runner-up.


<one>
Entry from Alexandria via LeMat-Bulk: an optimized crystal structure of Ac2Ce2S7 (PBE).

```
Ac2Ce2S7
1.0
4.769 0.000 0.000
0.000 4.769 0.000
0.000 0.000 13.692
Ac S Ce
2 7 2
Direct
0.500 0.000 0.854 Ac
0.000 0.500 0.146 Ac
0.500 0.500 0.272 S
0.000 0.000 0.258 S
0.500 0.500 0.000 S
0.000 0.000 0.500 S
0.500 0.500 0.500 S
0.500 0.500 0.728 S
0.000 0.000 0.742 S
0.000 0.500 0.618 Ce
0.500 0.000 0.382 Ce
```

## Properties
As for the symmetry: P-4m2.


<two>
Entry from Alexandria via LeMat-Bulk: an optimized crystal structure of Ac2Ce2S7 (PBE).

```
Ac2Ce2S7
1.0
-5.737 -2.718 7.181
0.471 -8.955 3.384
3.666 -1.648 8.701
Ac Ce S
4 4 14
Direct
0.125 0.625 0.625 Ac
0.625 0.625 0.125 Ac
0.625 0.625 0.625 Ac
0.625 0.125 0.625 Ac
0.125 0.125 0.125 Ce
0.625 0.125 0.125 Ce
0.125 0.125 0.625 Ce
0.125 0.625 0.125 Ce
0.220 0.780 0.220 S
0.030 0.470 0.470 S
0.500 0.500 0.500 S
0.780 0.220 0.220 S
0.780 0.780 0.220 S
0.220 0.220 0.780 S
0.470 0.030 0.470 S
0.470 0.470 0.030 S
0.780 0.220 0.780 S
0.750 0.750 0.750 S
0.220 0.780 0.780 S
0.030 0.030 0.470 S
0.470 0.030 0.030 S
0.030 0.470 0.030 S
```

## Properties
As for the symmetry: Fd-3m.


Which structure is most stable? <two>, by 82 meV per atom over the runner-up.


<one>
Entry from Alexandria via LeMat-Bulk: an optimized crystal structure of AcCeSb2 (PBE).

```
AcCeSb2
1.0
4.653 0.000 0.000
2.327 4.030 0.000
2.327 1.343 7.607
Sb Ac Ce
2 1 1
Direct
0.756 0.756 0.732 Sb
0.244 0.244 0.268 Sb
0.000 0.000 0.000 Ac
0.500 0.500 0.500 Ce
```

## Properties
As for the symmetry: R-3m.


<two>
Entry from Alexandria via LeMat-Bulk: an optimized crystal structure of AcCeSb2 (PBE).

```
AcCeSb2
1.0
-0.968 4.314 1.272
-2.780 -2.215 -2.920
-4.291 -2.791 6.201
Sb Ac Ce
2 1 1
Direct
0.667 0.833 0.767 Sb
0.333 0.167 0.233 Sb
0.000 0.500 0.500 Ac
0.000 0.500 0.000 Ce
```

## Properties
As for the symmetry: P-3m1.


<three>
Entry from Alexandria via LeMat-Bulk: an optimized crystal structure of AcCeSb2 (PBE).

```
AcCeSb2
1.0
3.975 0.000 0.000
0.000 3.975 0.000
0.000 0.000 7.918
Sb Ce Ac
2 1 1
Direct
0.000 0.000 0.732 Sb
0.000 0.000 0.268 Sb
0.500 0.500 0.500 Ce
0.500 0.500 0.000 Ac
```

## Properties
As for the symmetry: P4/mmm.


Which structure is most stable? <one>, by 144 meV per atom over the runner-up.